(1)
In2CuSi | meta-GGA SCAN | PBEsol geometry

Cell: 3.986 4.683 5.057 Å, 117.58 113.22 90.00°
Sites, in units of the cell vectors:
Cu 0.000 0.500 0.000
In 0.741 0.741 0.482
In 0.259 0.259 0.518
Si 0.500 0.000 0.000

Values from the calculation:
Raw formation energy: 0.44 eV/atom
VASP energy: -90.220 eV/cell
Theoretical density: 7.12 g/cm³
Symmetry: No. 71

---

(2)
DyCoC | meta-GGA SCAN | PBEsol geometry

Cell: 3.577 3.577 6.820 Å, 90.00 90.00 90.00°
Sites, in units of the cell vectors:
C 0.500 0.000 0.500
C 0.000 0.500 0.000
Co 0.500 0.500 0.000
Co 0.500 0.500 0.500
Dy 0.000 0.000 0.750
Dy 0.000 0.000 0.250

Values from the calculation:
Formation energy from the elements: -0.343 eV per atom
VASP energy: -152.461 eV/cell
Theoretical density: 8.88 g/cm³
Symmetry: No. 131

---

VASP energy of number 1 (In2CuSi)? -90.220 eV/cell